Compound: LiNpAu2
Source: the Alexandria database
Functional: PBE
Structure: optimized geometry

Structure (POSCAR):
```
LiNpAu2
1.0
3.178 0.000 0.000
0.000 3.178 0.000
0.000 0.000 7.442
Np Au Li
1 2 1
Direct
0.500 0.500 0.500 Np
0.000 0.000 0.796 Au
0.000 0.000 0.204 Au
0.500 0.500 0.000 Li
```

Properties
Crystal system: tetragonal
Symmetry: P4/mmm
E_form, meV/atom: -298
VASP energy, Ha/atom: -0.2076


Compound: Ni2OsPb
Source: the Alexandria database
Functional: PBE
Structure: optimized geometry

Structure (POSCAR):
```
Ni2OsPb
1.0
8.700 0.032 0.019
8.196 2.917 0.019
8.196 1.431 2.542
Ni Os Pb
2 1 1
Direct
0.989 0.989 0.989 Ni
0.252 0.252 0.252 Ni
0.513 0.513 0.513 Os
0.745 0.745 0.745 Pb
```

Properties
Crystal system: trigonal
Symmetry: R3m
E_form, meV/atom: 736
VASP energy, Ha/atom: -0.2164


Compound: Pm5TmPt4
Source: the Alexandria database
Functional: PBE
Structure: optimized geometry

Structure (POSCAR):
```
Pm5TmPt4
1.0
-3.008 0.614 -2.824
-1.751 -7.862 0.155
-3.646 3.482 7.722
Pm Tm Pt
5 1 4
Direct
0.166 0.348 0.331 Pm
0.167 0.858 0.334 Pm
0.833 0.142 0.666 Pm
0.500 0.500 0.000 Pm
0.834 0.652 0.669 Pm
0.500 0.000 0.000 Tm
0.668 0.108 0.336 Pt
0.001 0.248 0.003 Pt
0.332 0.892 0.664 Pt
0.999 0.752 0.997 Pt
```

Properties
Crystal system: monoclinic
Symmetry: C2/m
E_form, meV/atom: -887
VASP energy, Ha/atom: -0.2251